[1]
Compound: LaMg2Cu
Source: the Alexandria database
Functional: meta-GGA SCAN
Structure: PBEsol geometry

Cell: 3.3496 3.3496 28.6748 Å, 90.00 90.00 120.00°
Space group R3m (No. 160, hexagonal axes)
Symmetry-distinct sites (fractional):
La 0.0000 0.0000 0.0000 (multiplicity 3)
Mg 0.0000 0.0000 0.5259 (multiplicity 3)
Mg 0.0000 0.0000 0.7702 (multiplicity 3)
Cu 0.0000 0.0000 0.2556 (multiplicity 3)

Crystal system ... trigonal
E_form ... 133.6 meV/atom
Total DFT energy (no corrections) ... -16.93 eV/atom
Size of the total moment ... 0.008 μB per atom

***

[2]
Compound: Ho2SiSO4
Source: the Alexandria database
Functional: meta-GGA SCAN
Structure: PBEsol geometry

Cell: 5.985 6.837 10.531 Å, 90.00 90.00 90.00°
Space group Pbcm (No. 57)
Symmetry-distinct sites (fractional):
Ho 0.111 0.250 0.000 (multiplicity 4)
Ho 0.347 0.527 0.250 (multiplicity 4)
Si 0.383 0.750 0.000 (multiplicity 4)
S 0.043 0.667 0.750 (multiplicity 4)
O 0.217 0.565 0.030 (multiplicity 8)
O 0.451 0.241 0.624 (multiplicity 8)

Crystal system ... orthorhombic
E_form (uncorrected) ... -3367 meV per atom
Total DFT energy (no corrections) ... -21.19 eV/atom
Size of the total moment ... 0.000 μB per atom

***

[3]
Compound: GaNiOsW2
Source: the Alexandria database
Functional: meta-GGA SCAN
Structure: PBEsol geometry

Cell: 4.717 4.717 4.560 Å, 90.00 90.00 90.00°
Space group P4/mmm (No. 123)
Symmetry-distinct sites (fractional):
Ga 0.000 0.000 0.000 (multiplicity 1)
Ni 0.500 0.500 0.000 (multiplicity 1)
Os 0.000 0.000 0.500 (multiplicity 1)
W 0.000 0.500 0.500 (multiplicity 2)

Crystal system ... tetragonal
E_form ... 1884.7 meV/atom
Total DFT energy (no corrections) ... -46.87 eV/atom
Size of the total moment ... 0.292 μB per atom

***

[4]
Compound: CsHIF7
Source: the Alexandria database
Functional: meta-GGA SCAN
Structure: PBEsol geometry

Cell: 5.308 8.203 8.447 Å, 109.60 107.18 91.57°
Space group P-1 (No. 2)
Symmetry-distinct sites (fractional):
Cs 0.156 0.333 0.229 (multiplicity 2)
H 0.186 0.724 0.555 (multiplicity 2)
I 0.297 0.149 0.737 (multiplicity 2)
F 0.061 0.855 0.529 (multiplicity 2)
F 0.100 0.333 0.836 (multiplicity 2)
F 0.214 0.036 0.890 (multiplicity 2)
F 0.270 0.623 0.585 (multiplicity 2)
F 0.413 0.988 0.285 (multiplicity 2)
F 0.440 0.721 0.045 (multiplicity 2)
F 0.464 0.310 0.662 (multiplicity 2)

Crystal system ... triclinic
Total DFT energy (no corrections) ... -12.26 eV/atom
Size of the total moment ... 0.000 μB per atom

***

[5]
Compound: Be2PIr
Source: the Alexandria database
Functional: meta-GGA SCAN
Structure: PBEsol geometry

Cell: 4.751 7.886 2.838 Å, 90.00 119.64 90.00°
Space group C2/m (No. 12)
Symmetry-distinct sites (fractional):
Be 0.250 0.250 0.000 (multiplicity 4)
P 0.000 0.000 0.000 (multiplicity 2)
Ir 0.000 0.500 0.000 (multiplicity 2)

Crystal system ... monoclinic
E_form ... -61.2 meV/atom
Total DFT energy (no corrections) ... -22.61 eV/atom
Size of the total moment ... 0.001 μB per atom

***

[6]
Compound: Hg2Te2O7
Source: the Alexandria database
Functional: meta-GGA SCAN
Structure: PBEsol geometry

Cell: 13.003 7.418 13.425 Å, 90.00 112.65 90.00°
Space group C2/c (No. 15)
Symmetry-distinct sites (fractional):
Hg 0.000 0.198 0.250 (multiplicity 4)
Hg 0.000 0.273 0.750 (multiplicity 4)
Hg 0.250 0.250 0.000 (multiplicity 4)
Hg 0.250 0.250 0.500 (multiplicity 4)
Te 0.000 0.000 0.000 (multiplicity 4)
Te 0.000 0.500 0.000 (multiplicity 4)
Te 0.227 0.494 0.252 (multiplicity 8)
O 0.037 0.251 0.550 (multiplicity 8)
O 0.054 0.440 0.153 (multiplicity 8)
O 0.074 0.024 0.401 (multiplicity 8)
O 0.142 0.073 0.109 (multiplicity 8)
O 0.151 0.480 0.008 (multiplicity 8)
O 0.170 0.292 0.799 (multiplicity 8)
O 0.192 0.300 0.328 (multiplicity 8)

Crystal system ... monoclinic
E_form (uncorrected) ... -812 meV per atom
Total DFT energy (no corrections) ... -23.94 eV/atom
Size of the total moment ... 0.000 μB per atom

***

[7]
Compound: Ti4H3
Source: the Alexandria database
Functional: meta-GGA SCAN
Structure: PBEsol geometry

Cell: 4.150 4.150 4.356 Å, 90.00 90.00 90.00°
Space group P-42m (No. 111)
Symmetry-distinct sites (fractional):
Ti 0.244 0.244 0.262 (multiplicity 4)
H 0.000 0.000 0.000 (multiplicity 1)
H 0.500 0.500 0.000 (multiplicity 1)
H 0.500 0.500 0.500 (multiplicity 1)

Crystal system ... tetragonal
Total DFT energy (no corrections) ... -10.97 eV/atom
Size of the total moment ... 0.005 μB per atom

***

[8]
Compound: Ce2ZrO6
Source: the Alexandria database
Functional: meta-GGA SCAN
Structure: PBEsol geometry

Cell: 3.7571 3.7571 9.0818 Å, 90.00 90.00 120.00°
Space group P-3m1 (No. 164)
Symmetry-distinct sites (fractional):
Ce 0.3333 0.6667 0.1748 (multiplicity 2)
Zr 0.0000 0.0000 0.5000 (multiplicity 1)
O 0.0000 0.0000 0.2644 (multiplicity 2)
O 0.3333 0.6667 0.4300 (multiplicity 2)
O 0.3333 0.6667 0.9128 (multiplicity 2)

Crystal system ... trigonal
E_form (uncorrected) ... -3738 meV per atom
Total DFT energy (no corrections) ... -21.21 eV/atom
Size of the total moment ... 0.000 μB per atom